[1]
Computed, not measured: Th3ZrSn2 after structural relaxation at the GGA-PBE level of DFT.

The structure in CIF format:
```
data_Th3ZrSn2
_chemical_formula_sum 'Th6 Zr2 Sn4'
_space_group_name_H-M_alt 'P 1'
_space_group_IT_number 1
_cell_length_a 9.837
_cell_length_b 9.837
_cell_length_c 9.837
_cell_angle_alpha 142.47
_cell_angle_beta 54.37
_cell_angle_gamma 142.14
loop_
_space_group_symop_operation_xyz
'x,y,z'
loop_
_atom_site_label
_atom_site_type_symbol
_atom_site_fract_x
_atom_site_fract_y
_atom_site_fract_z
Th1 Th 0.180 0.243 0.423
Th2 Th 0.250 0.250 0.000
Th3 Th 0.320 0.743 0.063
Th4 Th 0.680 0.257 0.937
Th5 Th 0.750 0.750 0.000
Th6 Th 0.820 0.757 0.577
Zr1 Zr 0.250 0.750 0.500
Zr2 Zr 0.750 0.250 0.500
Sn1 Sn 0.132 0.732 0.864
Sn2 Sn 0.368 0.232 0.600
Sn3 Sn 0.632 0.768 0.400
Sn4 Sn 0.868 0.268 0.136
```

Summary:
ΔE_f = -0.40 eV per atom
M_tot = 0.00 μB/f.u.
N(E_F) = 1.0812 states/eV/atom
Electronic total energy = -6.8659 eV/atom
Space group = No. 72



[2]
Computed, not measured: ThZr4Sn2 after structural relaxation at the GGA-PBE level of DFT.

The structure in CIF format:
```
data_ThZr4Sn2
_chemical_formula_sum 'Th1 Zr4 Sn2'
_space_group_name_H-M_alt 'P 1'
_space_group_IT_number 1
_cell_length_a 3.844
_cell_length_b 3.876
_cell_length_c 11.890
_cell_angle_alpha 99.26
_cell_angle_beta 99.16
_cell_angle_gamma 90.00
loop_
_space_group_symop_operation_xyz
'x,y,z'
loop_
_atom_site_label
_atom_site_type_symbol
_atom_site_fract_x
_atom_site_fract_y
_atom_site_fract_z
Th1 Th 0.000 0.000 0.000
Zr1 Zr 0.145 0.145 0.290
Zr2 Zr 0.280 0.280 0.560
Zr3 Zr 0.720 0.720 0.440
Zr4 Zr 0.855 0.855 0.710
Sn1 Sn 0.414 0.414 0.829
Sn2 Sn 0.586 0.586 0.171
```

Summary:
ΔE_f = -0.32 eV per atom
M_tot = 0.00 μB/f.u.
N(E_F) = 1.0017 states/eV/atom
Electronic total energy = -7.4129 eV/atom
Space group = No. 2



[3]
Computed, not measured: Th2ZrSn after structural relaxation at the GGA-PBE level of DFT.

The structure in CIF format:
```
data_Th2ZrSn
_chemical_formula_sum 'Th2 Zr1 Sn1'
_space_group_name_H-M_alt 'P 1'
_space_group_IT_number 1
_cell_length_a 4.129
_cell_length_b 4.129
_cell_length_c 6.765
_cell_angle_alpha 90.00
_cell_angle_beta 90.00
_cell_angle_gamma 90.00
loop_
_space_group_symop_operation_xyz
'x,y,z'
loop_
_atom_site_label
_atom_site_type_symbol
_atom_site_fract_x
_atom_site_fract_y
_atom_site_fract_z
Th1 Th 0.000 0.000 0.238
Th2 Th 0.000 0.000 0.762
Zr1 Zr 0.500 0.500 0.500
Sn1 Sn 0.500 0.500 0.000
```

Summary:
ΔE_f = -0.17 eV per atom
M_tot = 1.02 μB/f.u.
N(E_F) = 1.5203 states/eV/atom
Electronic total energy = -7.0130 eV/atom
Space group = No. 123



[4]
Computed, not measured: Th2ZrSn after structural relaxation at the GGA-PBE level of DFT.

The structure in CIF format:
```
data_Th2ZrSn
_chemical_formula_sum 'Th2 Zr1 Sn1'
_space_group_name_H-M_alt 'P 1'
_space_group_IT_number 1
_cell_length_a 12.237
_cell_length_b 12.237
_cell_length_c 12.237
_cell_angle_alpha 15.91
_cell_angle_beta 15.91
_cell_angle_gamma 15.91
loop_
_space_group_symop_operation_xyz
'x,y,z'
loop_
_atom_site_label
_atom_site_type_symbol
_atom_site_fract_x
_atom_site_fract_y
_atom_site_fract_z
Th1 Th 0.090 0.090 0.090
Th2 Th 0.910 0.910 0.910
Zr1 Zr 0.500 0.500 0.500
Sn1 Sn 0.000 0.000 0.000
```

Summary:
ΔE_f = 0.20 eV per atom
M_tot = 0.00 μB/f.u.
N(E_F) = 1.5852 states/eV/atom
Electronic total energy = -6.6519 eV/atom
Space group = No. 166



[5]
Computed, not measured: Th3Zr2Sn3 after structural relaxation at the GGA-PBE level of DFT.

The structure in CIF format:
```
data_Th3Zr2Sn3
_chemical_formula_sum 'Th6 Zr4 Sn6'
_space_group_name_H-M_alt 'P 1'
_space_group_IT_number 1
_cell_length_a 9.115
_cell_length_b 9.115
_cell_length_c 6.085
_cell_angle_alpha 90.00
_cell_angle_beta 90.00
_cell_angle_gamma 120.00
loop_
_space_group_symop_operation_xyz
'x,y,z'
loop_
_atom_site_label
_atom_site_type_symbol
_atom_site_fract_x
_atom_site_fract_y
_atom_site_fract_z
Th1 Th 0.000 0.245 0.250
Th2 Th 0.000 0.755 0.750
Th3 Th 0.245 0.000 0.250
Th4 Th 0.245 0.245 0.750
Th5 Th 0.755 0.000 0.750
Th6 Th 0.755 0.755 0.250
Zr1 Zr 0.333 0.667 0.000
Zr2 Zr 0.333 0.667 0.500
Zr3 Zr 0.667 0.333 0.000
Zr4 Zr 0.667 0.333 0.500
Sn1 Sn 0.000 0.404 0.750
Sn2 Sn 0.000 0.596 0.250
Sn3 Sn 0.404 0.000 0.750
Sn4 Sn 0.404 0.404 0.250
Sn5 Sn 0.596 0.000 0.250
Sn6 Sn 0.596 0.596 0.750
```

Summary:
ΔE_f = -0.53 eV per atom
M_tot = 0.00 μB/f.u.
N(E_F) = 0.5032 states/eV/atom
Electronic total energy = -6.9504 eV/atom
Space group = No. 193



[6]
Computed, not measured: ThZr3Sn2 after structural relaxation at the GGA-PBE level of DFT.

The structure in CIF format:
```
data_ThZr3Sn2
_chemical_formula_sum 'Th2 Zr6 Sn4'
_space_group_name_H-M_alt 'P 1'
_space_group_IT_number 1
_cell_length_a 9.476
_cell_length_b 9.476
_cell_length_c 9.025
_cell_angle_alpha 116.81
_cell_angle_beta 116.81
_cell_angle_gamma 25.79
loop_
_space_group_symop_operation_xyz
'x,y,z'
loop_
_atom_site_label
_atom_site_type_symbol
_atom_site_fract_x
_atom_site_fract_y
_atom_site_fract_z
Th1 Th 0.135 0.135 0.061
Th2 Th 0.865 0.865 0.939
Zr1 Zr 0.054 0.054 0.415
Zr2 Zr 0.313 0.313 0.532
Zr3 Zr 0.406 0.406 0.305
Zr4 Zr 0.594 0.594 0.695
Zr5 Zr 0.687 0.687 0.468
Zr6 Zr 0.946 0.946 0.585
Sn1 Sn 0.218 0.218 0.748
Sn2 Sn 0.476 0.476 0.832
Sn3 Sn 0.524 0.524 0.168
Sn4 Sn 0.782 0.782 0.252
```

Summary:
ΔE_f = -0.33 eV per atom
M_tot = 0.00 μB/f.u.
N(E_F) = 1.0070 states/eV/atom
Electronic total energy = -7.1758 eV/atom
Space group = No. 12



[7]
Computed, not measured: Th2Zr3Sn4 after structural relaxation at the GGA-PBE level of DFT.

The structure in CIF format:
```
data_Th2Zr3Sn4
_chemical_formula_sum 'Th4 Zr6 Sn8'
_space_group_name_H-M_alt 'P 1'
_space_group_IT_number 1
_cell_length_a 7.941
_cell_length_b 7.926
_cell_length_c 7.830
_cell_angle_alpha 90.00
_cell_angle_beta 110.10
_cell_angle_gamma 90.00
loop_
_space_group_symop_operation_xyz
'x,y,z'
loop_
_atom_site_label
_atom_site_type_symbol
_atom_site_fract_x
_atom_site_fract_y
_atom_site_fract_z
Th1 Th 0.187 0.170 0.055
Th2 Th 0.187 0.330 0.555
Th3 Th 0.813 0.670 0.445
Th4 Th 0.813 0.830 0.945
Zr1 Zr 0.251 0.666 0.247
Zr2 Zr 0.251 0.834 0.747
Zr3 Zr 0.500 0.000 0.500
Zr4 Zr 0.500 0.500 0.000
Zr5 Zr 0.749 0.166 0.253
Zr6 Zr 0.749 0.334 0.753
Sn1 Sn 0.088 0.542 0.854
Sn2 Sn 0.088 0.958 0.354
Sn3 Sn 0.496 0.136 0.862
Sn4 Sn 0.496 0.364 0.362
Sn5 Sn 0.504 0.636 0.638
Sn6 Sn 0.504 0.864 0.138
Sn7 Sn 0.912 0.042 0.646
Sn8 Sn 0.912 0.458 0.146
```

Summary:
ΔE_f = -0.64 eV per atom
M_tot = 0.00 μB/f.u.
N(E_F) = 0.8091 states/eV/atom
Electronic total energy = -6.9155 eV/atom
Space group = No. 14



[8]
Computed, not measured: TiSn4 after structural relaxation at the GGA-PBE level of DFT.

The structure in CIF format:
```
data_TiSn4
_chemical_formula_sum 'Ti1 Sn4'
_space_group_name_H-M_alt 'P 1'
_space_group_IT_number 1
_cell_length_a 5.312
_cell_length_b 5.312
_cell_length_c 5.312
_cell_angle_alpha 90.00
_cell_angle_beta 90.00
_cell_angle_gamma 90.00
loop_
_space_group_symop_operation_xyz
'x,y,z'
loop_
_atom_site_label
_atom_site_type_symbol
_atom_site_fract_x
_atom_site_fract_y
_atom_site_fract_z
Ti1 Ti 0.000 0.000 0.000
Sn1 Sn 0.000 0.000 0.500
Sn2 Sn 0.000 0.500 0.000
Sn3 Sn 0.500 0.000 0.000
Sn4 Sn 0.500 0.500 0.500
```

Summary:
ΔE_f = 0.25 eV per atom
M_tot = 0.00 μB/f.u.
N(E_F) = 0.7561 states/eV/atom
Electronic total energy = -4.5291 eV/atom
Space group = No. 221



[9]
Computed, not measured: Ti8Sn3 after structural relaxation at the GGA-PBE level of DFT.

The structure in CIF format:
```
data_Ti8Sn3
_chemical_formula_sum 'Ti8 Sn3'
_space_group_name_H-M_alt 'P 1'
_space_group_IT_number 1
_cell_length_a 6.159
_cell_length_b 6.159
_cell_length_c 6.159
_cell_angle_alpha 92.81
_cell_angle_beta 92.81
_cell_angle_gamma 92.81
loop_
_space_group_symop_operation_xyz
'x,y,z'
loop_
_atom_site_label
_atom_site_type_symbol
_atom_site_fract_x
_atom_site_fract_y
_atom_site_fract_z
Ti1 Ti 0.143 0.143 0.143
Ti2 Ti 0.197 0.402 0.578
Ti3 Ti 0.402 0.578 0.197
Ti4 Ti 0.422 0.803 0.598
Ti5 Ti 0.578 0.197 0.402
Ti6 Ti 0.598 0.422 0.803
Ti7 Ti 0.803 0.598 0.422
Ti8 Ti 0.857 0.857 0.857
Sn1 Sn 0.000 0.000 0.500
Sn2 Sn 0.000 0.500 0.000
Sn3 Sn 0.500 0.000 0.000
```

Summary:
ΔE_f = 0.32 eV per atom
M_tot = 0.77 μB/f.u.
N(E_F) = 1.0473 states/eV/atom
Electronic total energy = -6.5142 eV/atom
Space group = No. 148



[10]
Computed, not measured: Ti8Sn after structural relaxation at the GGA-PBE level of DFT.

The structure in CIF format:
```
data_Ti8Sn
_chemical_formula_sum 'Ti8 Sn1'
_space_group_name_H-M_alt 'P 1'
_space_group_IT_number 1
_cell_length_a 6.625
_cell_length_b 6.625
_cell_length_c 6.625
_cell_angle_alpha 95.17
_cell_angle_beta 95.17
_cell_angle_gamma 145.05
loop_
_space_group_symop_operation_xyz
'x,y,z'
loop_
_atom_site_label
_atom_site_type_symbol
_atom_site_fract_x
_atom_site_fract_y
_atom_site_fract_z
Ti1 Ti 0.000 0.338 0.338
Ti2 Ti 0.000 0.662 0.662
Ti3 Ti 0.329 0.329 0.658
Ti4 Ti 0.329 0.671 0.000
Ti5 Ti 0.338 0.000 0.338
Ti6 Ti 0.662 0.000 0.662
Ti7 Ti 0.671 0.329 0.000
Ti8 Ti 0.671 0.671 0.342
Sn1 Sn 0.000 0.000 0.000
```

Summary:
ΔE_f = -0.11 eV per atom
M_tot = 0.00 μB/f.u.
N(E_F) = 1.2904 states/eV/atom
Electronic total energy = -7.5736 eV/atom
Space group = No. 139



[11]
Computed, not measured: Ti2Sn after structural relaxation at the GGA-PBE level of DFT.

The structure in CIF format:
```
data_Ti2Sn
_chemical_formula_sum 'Ti4 Sn2'
_space_group_name_H-M_alt 'P 1'
_space_group_IT_number 1
_cell_length_a 4.744
_cell_length_b 4.744
_cell_length_c 5.638
_cell_angle_alpha 90.00
_cell_angle_beta 90.00
_cell_angle_gamma 120.00
loop_
_space_group_symop_operation_xyz
'x,y,z'
loop_
_atom_site_label
_atom_site_type_symbol
_atom_site_fract_x
_atom_site_fract_y
_atom_site_fract_z
Ti1 Ti 0.000 0.000 0.000
Ti2 Ti 0.000 0.000 0.500
Ti3 Ti 0.333 0.667 0.250
Ti4 Ti 0.667 0.333 0.750
Sn1 Sn 0.333 0.667 0.750
Sn2 Sn 0.667 0.333 0.250
```

Summary:
ΔE_f = -0.33 eV per atom
M_tot = 0.00 μB/f.u.
N(E_F) = 0.6372 states/eV/atom
Electronic total energy = -6.9261 eV/atom
Space group = No. 194



> Which value of ΔE_f does entry 7 give?

-0.64 eV per atom



> Number 6 is which compound?

ThZr3Sn2